No. 1
DFT (PBE) results for a geometry-optimized BeMoAs2 structure.

Results
As for the energy of formation from the pure elements: 1.3 eV/f.u.

Lattice parameters (Å, degrees): 4.2728 4.2728 3.2342 90.00 90.00 90.00
With the nearest neighbours (Å) after each atom.
Space group P4/mmm (No. 123)
One atom of each set of equivalent atoms:
Be 0.0000 0.0000 0.0000 x1  8 As 2.68
Mo 0.5000 0.5000 0.0000 x1  8 As 2.68
As 0.0000 0.5000 0.5000 x2  4 Mo 2.68, 4 Be 2.68

---

No. 2
DFT (PBE) results for a geometry-optimized GdBe2Ir structure.

Results
As for the energy of formation from the pure elements: -2.0 eV/f.u.

Lattice parameters (Å, degrees): 3.9000 3.9000 14.5581 90.00 90.00 120.00
With the nearest neighbours (Å) after each atom.
Space group R-3m (No. 166, hexagonal axes)
One atom of each set of equivalent atoms:
Gd 0.0000 0.0000 0.0000 x3  8 Be 2.84-3.02
Be 0.0000 0.0000 0.1951 x6  3 Ir 2.29, 3 Be 2.40
Ir 0.0000 0.0000 0.5000 x3  6 Be 2.29

---

Number 2 is which compound? GdBe2Ir